An optimized crystal structure of Rb2AgP2Se6. Source: Alexandria via LeMat-Bulk, functional PBE-GGA.

It has space group C2/m (No. 12), with a = 13.582 Å, b = 7.003 Å, c = 7.352 Å, α = 90.00°, β = 104.35° and γ = 90.00°. The inequivalent atoms are Rb at (0.201, 0.000, 0.210), Ag at (0.000, 0.000, 0.500), P at (0.016, 0.500, 0.165), Se at (0.069, 0.240, 0.786) and Se at (0.179, 0.500, 0.280).

Its uncorrected formation energy is -0.44 eV per atom. The value obtained for the theoretical density is 3.99 g cm⁻³.